No. 1
## Zn3IN2 (PBE-GGA)

Data for crystalline Zn3IN2 at its relaxed geometry.

Output
The calculation puts the formation energy from raw total energies at 0.115 eV/atom. As for the total energy: -3.556 eV/atom. The value obtained for the calculated volume is 23.42 Å³/atom. The value obtained for the magnetic moment is 0.00 μB per formula unit. Its symmetry is P-1.

Cell: 6.055 15.104 3.496 Å, 93.32 106.69 66.85°
Positions (direct):
I1 0.184 0.836 0.676
I2 0.816 0.164 0.324
Zn1 0.690 0.511 0.848
Zn2 0.737 0.311 0.821
Zn3 0.122 0.372 0.528
Zn4 0.310 0.489 0.152
Zn5 0.263 0.689 0.179
Zn6 0.878 0.628 0.472
N1 0.598 0.582 0.320
N2 0.969 0.379 0.954
N3 0.402 0.418 0.680
N4 0.031 0.621 0.046

---

No. 2
## CaNbCu (PBE-GGA)

Data for crystalline CaNbCu at its relaxed geometry.

Output
As for the total energy: -5.128 eV/atom. The value obtained for the calculated volume is 21.70 Å³/atom. The calculated formation energy is 0.78 eV/f.u. The value obtained for the magnetic moment is 0.00 μB per formula unit. The distance to the lowest polymorph of the same formula comes out at 0.108 eV/atom. Its symmetry is P1.

Cell: 3.305 5.689 7.501 Å, 85.64 77.23 106.79°
Positions (direct):
Nb1 0.316 0.497 0.013
Nb2 0.070 0.816 0.828
Cu1 0.591 0.324 0.289
Cu2 0.609 0.081 0.013
Ca1 0.841 0.859 0.328
Ca2 0.918 0.318 0.631